Material: NaNd2Te6Pb3
Method: DFT, GGA-PBE
State: optimized geometry

Lattice parameters (Å, degrees): 10.338 10.338 9.320 104.10 104.10 25.33
Positions (direct):
Na (0.000, 0.000, 0.000)
Nd (0.333, 0.333, 0.656)
Nd (0.667, 0.667, 0.344)
Te (0.169, 0.169, 0.589)
Te (0.173, 0.173, 0.101)
Te (0.494, 0.494, 0.748)
Te (0.506, 0.506, 0.252)
Te (0.827, 0.827, 0.899)
Te (0.831, 0.831, 0.411)
Pb (0.000, 0.000, 0.500)
Pb (0.342, 0.342, 0.151)
Pb (0.658, 0.658, 0.849)

D(E_F)	4.38	states/eV/cell
space-group type	C2/m, No. 12
E_form (uncorrected)	-0.8266	eV per atom